KNa3S8: optimized geometry, PBE-GGA.

Cell: 7.4873 7.4663 7.4669 Å, 62.34 85.91 117.76°
With the nearest neighbours (Å) after each atom.
Atoms (fractional coordinates):
1 S 0.3890 0.0000 0.0886  1 S 2.01
2 Na 0.7703 0.4984 0.7709  8 S 2.91-2.97
3 S 0.8708 0.0000 0.5657  1 S 2.01
4 S 0.1242 0.5118 0.9164  1 S 2.01
5 S 0.4324 0.5191 0.6106  1 S 2.01
6 Na 0.2719 0.5016 0.2693  8 S 2.91-2.97
7 S 0.5696 0.0000 0.8756  1 S 2.01
8 K 0.9835 0.0000 0.9760  8 S 3.21-3.24
9 Na 0.4791 0.0000 0.4829  8 S 3.04-3.10
10 S 0.0837 0.0000 0.3863  1 S 2.01
11 S 0.6124 0.4882 0.4282  1 S 2.01
12 S 0.9133 0.4809 0.1296  1 S 2.01

## Properties
Calculated volume, Å³/f.u.: 304
Magnetic moment, Bohr magnetons per cell: 0.00
Formation energy without anion corrections, meV/atom: -466

BeRu2Pt: optimized geometry, PBE-GGA.

Cell: 4.9072 4.9072 4.9072 Å, 145.85 127.82 63.85°
With the nearest neighbours (Å) after each atom.
Atoms (fractional coordinates):
1 Be 0.5016 0.5016 0.0000  2 Pt 2.31, 2 Ru 2.36
2 Ru 0.2777 0.7777 0.5000  2 Be 2.36
3 Pt 0.7176 0.2176 0.5000  2 Be 2.31
4 Ru 0.0031 0.0031 0.0000  4 Be 2.59, 6 Ru 2.70-2.88, 4 Pt 2.78-2.80

## Properties
Calculated volume, Å³/f.u.: 52
Magnetic moment, Bohr magnetons per cell: 0.00
ΔE_f, eV per atom: -0.11

P3H12Pb: optimized geometry, PBE-GGA.

Cell: 8.8481 8.8481 8.1534 Å, 57.14 57.14 60.00°
With the nearest neighbours (Å) after each atom.
Atoms (fractional coordinates):
1 H 0.5721 0.4685 0.7530  1 P 1.45
2 H 0.9639 0.4766 0.4379  1 P 1.43
3 H 0.5871 0.3829 0.2691  1 Pb 1.85
4 H 0.3497 0.1240 0.0793  1 P 1.43
5 H 0.4766 0.1217 0.4379  1 P 1.43
6 H 0.3829 0.7609 0.2691  1 Pb 1.85
7 H 0.0721 0.7065 0.2530  1 P 1.45
8 H 0.8829 0.0871 0.7691  1 Pb 1.85
9 H 0.4639 0.6217 0.9379  1 P 1.43
10 H 0.4685 0.2065 0.7530  1 P 1.45
11 P 0.0908 0.5339 0.4342  3 H 1.43-1.45
12 H 0.7065 0.9685 0.2530  1 P 1.45
13 H 0.6240 0.8497 0.5793  1 P 1.43
14 H 0.7609 0.5871 0.2691  1 Pb 1.85
15 H 0.2065 0.5721 0.7530  1 P 1.45
16 P 0.9411 0.0908 0.4342  3 H 1.43-1.45
17 Pb 0.0359 0.0359 0.8922  3 H 1.85
18 H 0.6217 0.9766 0.9379  1 P 1.43
19 H 0.2609 0.8829 0.7691  1 Pb 1.85
20 H 0.9469 0.6240 0.5793  1 P 1.43
21 P 0.5339 0.9411 0.4342  3 H 1.43-1.45
22 H 0.9766 0.4639 0.9379  1 P 1.43
23 H 0.9685 0.0721 0.2530  1 P 1.45
24 H 0.0871 0.2609 0.7691  1 Pb 1.85
25 P 0.4411 0.0339 0.9342  3 H 1.43-1.45
26 H 0.1217 0.9639 0.4379  1 P 1.43
27 H 0.4469 0.3497 0.0793  1 P 1.43
28 H 0.1240 0.4469 0.0793  1 P 1.43
29 P 0.0339 0.5908 0.9342  3 H 1.43-1.45
30 H 0.8497 0.9469 0.5793  1 P 1.43
31 P 0.5908 0.4411 0.9342  3 H 1.43-1.45
32 Pb 0.5359 0.5359 0.3922  3 H 1.85

## Properties
Calculated volume, Å³/f.u.: 215
Magnetic moment, Bohr magnetons per cell: 0.00
Uncorrected energy, eV per cell: -115.2

HoNb3Ru4: optimized geometry, PBE-GGA.

Cell: 4.5965 6.3559 9.1933 Å, 90.00 90.00 90.00°
With the nearest neighbours (Å) after each atom.
Atoms (fractional coordinates):
1 Nb 0.0000 0.0000 0.0000  8 Ru 2.76
2 Ho 0.0000 0.5000 0.0000  8 Ru 2.83
3 Ho 0.0000 0.5000 0.5000  8 Ru 2.83
4 Nb 0.5003 0.0000 0.2500  8 Ru 2.76
5 Ru 0.5000 0.2396 0.5000  6 Nb 2.76-2.83, 2 Ho 2.83, 1 Ru 3.05
6 Ru 0.9997 0.2395 0.7500  6 Nb 2.76-2.83, 2 Ho 2.83, 1 Ru 3.04
7 Ru 0.5000 0.2396 0.0000  6 Nb 2.76-2.83, 2 Ho 2.83, 1 Ru 3.05
8 Ru 0.9997 0.7605 0.7500  6 Nb 2.76-2.83, 2 Ho 2.83, 1 Ru 3.04
9 Ru 0.5000 0.7604 0.0000  6 Nb 2.76-2.83, 2 Ho 2.83, 1 Ru 3.05
10 Nb 0.4999 0.5000 0.7500  8 Ru 2.83
11 Ru 0.0003 0.7605 0.2500  6 Nb 2.76-2.83, 2 Ho 2.83, 1 Ru 3.04
12 Nb 0.5001 0.5000 0.2500  8 Ru 2.83
13 Ru 0.5000 0.7604 0.5000  6 Nb 2.76-2.83, 2 Ho 2.83, 1 Ru 3.05
14 Nb 0.4997 0.0000 0.7500  8 Ru 2.76
15 Ru 0.0003 0.2395 0.2500  6 Nb 2.76-2.83, 2 Ho 2.83, 1 Ru 3.04
16 Nb 0.0000 0.0000 0.5000  8 Ru 2.76

## Properties
Calculated volume, Å³/f.u.: 134
Magnetic moment, Bohr magnetons per cell: 0.00
ΔE_f, eV per atom: -0.24